# 1
Here is a geometry-optimized Ba2CePaN4 structure from Alexandria via LeMat-Bulk. Energies are from GGA-PBE.

Properties
The calculated volume comes out at 18.76 Å³/atom. For the raw total energy, the calculation gives -62.10 eV/cell. The total magnetization comes out at 0.000 μB per formula unit.

a b c (Å): 6.364 3.671 6.766
angles (deg): 90.00 108.34 90.00
Space group P2/m (No. 10)
Symmetry-distinct sites (fractional):
Ba  0.000  0.000  0.000 x1
Ba  0.500  0.500  0.000 x1
Ce  0.000  0.500  0.500 x1
Pa  0.500  0.000  0.500 x1
N  0.241  0.000  0.676 x2
N  0.287  0.500  0.323 x2

# 2
Here is a geometry-optimized BaCePaN4 structure from Alexandria via LeMat-Bulk. Energies are from GGA-PBE.

Properties
The calculated volume comes out at 18.08 Å³/atom. For the raw total energy, the calculation gives -228.93 eV/cell. The total magnetization comes out at 0.000 μB per formula unit.

a b c (Å): 6.074 13.375 6.233
angles (deg): 90.00 90.00 90.00
Space group Cmcm (No. 63)
Symmetry-distinct sites (fractional):
Ba  0.000  0.100  0.250 x4
Ce  0.000  0.401  0.250 x4
Pa  0.000  0.250  0.750 x4
N  0.000  0.093  0.750 x4
N  0.000  0.448  0.750 x4
N  0.250  0.250  0.000 x8

# 3
Here is a geometry-optimized Ba3CePa2N6 structure from Alexandria via LeMat-Bulk. Energies are from GGA-PBE.

Properties
The calculated volume comes out at 18.69 Å³/atom. For the raw total energy, the calculation gives -191.02 eV/cell. The total magnetization comes out at 0.254 μB per formula unit.

a b c (Å): 6.340 10.981 6.778
angles (deg): 90.00 108.14 90.00
Space group C2/m (No. 12)
Symmetry-distinct sites (fractional):
Ba  0.000  0.000  0.000 x2
Ba  0.000  0.335  0.000 x4
Ce  0.000  0.500  0.500 x2
Pa  0.000  0.167  0.500 x4
N  0.210  0.000  0.672 x4
N  0.232  0.326  0.674 x8

# 4
Here is a geometry-optimized Ba4CePa3N8 structure from Alexandria via LeMat-Bulk. Energies are from GGA-PBE.

Properties
The calculated volume comes out at 18.67 Å³/atom. For the raw total energy, the calculation gives -386.35 eV/cell. The total magnetization comes out at 0.045 μB per formula unit.

a b c (Å): 7.3121 7.3121 19.3489
angles (deg): 90.00 90.00 120.00
Space group R-3m (No. 166, hexagonal axes)
Symmetry-distinct sites (fractional):
Ba  0.0000  0.0000  0.0000 x3
Ba  0.0000  0.5000  0.0000 x9
Ce  0.0000  0.0000  0.5000 x3
Pa  0.0000  0.5000  0.5000 x9
N  0.0000  0.0000  0.2236 x6
N  0.0140  0.5070  0.7767 x18

# 5
Here is a geometry-optimized BaCePaN3 structure from Alexandria via LeMat-Bulk. Energies are from GGA-PBE.

Properties
The calculated volume comes out at 21.56 Å³/atom. For the raw total energy, the calculation gives -98.57 eV/cell. The total magnetization comes out at 1.727 μB per formula unit.

a b c (Å): 7.407 3.575 9.772
angles (deg): 90.00 90.84 90.00
Space group P2_1/m (No. 11)
Symmetry-distinct sites (fractional):
Ba  0.124  0.250  0.186 x2
Ce  0.193  0.250  0.555 x2
Pa  0.383  0.750  0.868 x2
N  0.113  0.750  0.419 x2
N  0.201  0.250  0.839 x2
N  0.417  0.750  0.094 x2

# 6
Here is a geometry-optimized BaCe2PdN4 structure from Alexandria via LeMat-Bulk. Energies are from GGA-PBE.

Properties
The calculated volume comes out at 17.24 Å³/atom. For the raw total energy, the calculation gives -235.76 eV/cell. The total magnetization comes out at 0.000 μB per formula unit.

a b c (Å): 3.755 11.893 12.356
angles (deg): 90.00 90.00 90.00
Space group Cmcm (No. 63)
Symmetry-distinct sites (fractional):
Ba  0.000  0.091  0.250 x4
Ce  0.000  0.365  0.053 x8
Pd  0.000  0.181  0.750 x4
N  0.000  0.000  0.000 x4
N  0.000  0.249  0.595 x8
N  0.000  0.396  0.250 x4